Compound: ZnAs2Ru
Source: Alexandria
Functional: GGA-PBEsol
Structure: relaxed

Values from the calculation:
Calculated density in kg/m³: 8665
DOS at the Fermi energy in states/eV per atom: 0.705
Space-group type: Cmmm (65)
E in eV for the cell shown: -21.26

Structure (POSCAR):
```
ZnAs2Ru
1.0
-0.8233 -2.4437 -1.7939
3.0315 1.2306 -3.0678
2.1085 -2.7794 2.8187
As Ru Zn
2 1 1
Cartesian
1.5158 0.6153 -1.5339 As
1.0543 -1.3897 1.4093 As
-0.4116 -1.2219 -0.8969 Ru
2.1584 -1.9963 -1.0215 Zn
```